1.
A relaxed Sm2Y4Tm2Th crystal, computed with PBE.

The calculation puts the formation energy at 18 meV per atom.

It has space group C2/m (No. 12), with a = 17.2313 Å, b = 3.5455 Å, c = 9.6916 Å, α = 90.00°, β = 100.81° and γ = 90.00°. Symmetry generates all atoms from Sm at (0.1553, 0.0000, 0.0871), Y at (0.0143, 0.5000, 0.8213), Y at (0.1760, 0.0000, 0.7346), Tm at (0.1627, 0.5000, 0.4212) and Th at (0.0000, 0.0000, 0.5000).

***

2.
A relaxed SmY5Tm2Th crystal, computed with PBE.

The calculation puts the formation energy at 162 meV per atom.

It has space group Cmc2_1 (No. 36), with a = 5.7360 Å, b = 21.2833 Å, c = 9.7276 Å, α = 90.00°, β = 90.00° and γ = 90.00°. Symmetry generates all atoms from Sm at (0.0000, 0.0966, 0.0000), Y at (0.0000, 0.0280, 0.3189), Y at (0.0000, 0.1109, 0.6131), Y at (0.0000, 0.1959, 0.2867), Y at (0.0000, 0.2333, 0.9109), Y at (0.0000, 0.4864, 0.5898), Tm at (0.0000, 0.3699, 0.2859), Tm at (0.0000, 0.3876, 0.8979) and Th at (0.0000, 0.3111, 0.5990).